1.
8
Lattice="4.1006 0.0000 0.0000 0.0000 4.1006 0.0000 0.0000 0.0000 7.6025" Properties=species:S:1:pos:R:3 comment="PBEsol LaNiRu2, optimized geometry" dos_at_fermi_per_ev_fu=5.8 total_energy_ev_per_atom=-7.637 magmom_total_mub_per_atom=0.000 pbc="T T T"
La 0.0000 0.0000 0.0000
La 2.0503 2.0503 3.8012
Ni 0.0000 2.0503 1.9006
Ni 2.0503 0.0000 5.7019
Ru 0.0000 0.0000 3.8012
Ru 0.0000 2.0503 5.7019
Ru 2.0503 0.0000 1.9006
Ru 2.0503 2.0503 0.0000



2.
4
Lattice="3.3803 0.0000 0.0000 0.0000 6.0091 0.0000 -0.0263 0.0000 4.8503" Properties=species:S:1:pos:R:3 comment="PBEsol LaAl2Br, optimized geometry" dos_at_fermi_per_ev_fu=2.5 total_energy_ev_per_atom=-4.204 raw_formation_energy_kj_per_mol_atoms=-34.2 magmom_total_mub_per_atom=0.000 e_above_lowest_polymorph_mev_per_atom=68 pbc="T T T"
La 0.0000 0.0000 0.0000
Al 1.0355 3.0046 3.6869
Al 2.3184 3.0046 1.1634
Br 1.6770 0.0000 2.4252



3.
8
Lattice="11.2534 0.0000 0.0000 0.0000 3.3697 0.0000 -0.9261 0.0000 5.2373" Properties=species:S:1:pos:R:3 comment="PBEsol Mg2TlPb, optimized geometry" dos_at_fermi_per_ev_fu=1.5 total_energy_ev_per_atom=-2.582 magmom_total_mub_per_atom=0.000 e_above_lowest_polymorph_mev_per_atom=21 pbc="T T T"
Mg 0.0000 0.0000 0.0000
Mg 2.4789 1.6849 1.6026
Mg 5.6267 1.6849 0.0000
Mg 8.1056 0.0000 1.6026
Tl 5.1109 0.0000 2.5781
Tl 10.7376 1.6849 2.5781
Pb 2.0943 0.0000 4.2520
Pb 7.7210 1.6849 4.2520



4.
8
Lattice="3.0559 0.0000 0.0000 -1.5280 2.6465 0.0000 0.0000 0.0000 13.7577" Properties=species:S:1:pos:R:3 comment="PBEsol TaTiAlC, optimized geometry" dos_at_fermi_per_ev_fu=0.9 total_energy_ev_per_atom=-9.321 magmom_total_mub_per_atom=0.000 pbc="T T T"
Ta 0.0000 1.7643 5.6309
Ta 1.5280 0.8822 8.1268
Ti 0.0000 1.7643 1.1354
Ti 1.5280 0.8822 12.6223
Al 0.0000 1.7643 10.3800
Al 1.5280 0.8822 3.3777
C 0.0000 0.0000 0.0000
C 0.0000 0.0000 6.8789



5.
12
Lattice="5.4193 0.0000 0.0000 0.0000 5.4193 0.0000 0.0000 0.0000 5.4193" Properties=species:S:1:pos:R:3 comment="PBEsol BeFeSe, optimized geometry" dos_at_fermi_per_ev_fu=1.5 total_energy_ev_per_atom=-5.267 raw_formation_energy_kj_per_mol_atoms=32.6 magmom_total_mub_per_atom=0.635 e_above_lowest_polymorph_mev_per_atom=156 pbc="T T T"
Be 0.0000 0.0000 0.0000
Be 0.0000 2.7096 2.7096
Be 2.7096 0.0000 2.7096
Be 2.7096 2.7096 0.0000
Fe 0.0000 0.0000 2.7096
Fe 0.0000 2.7096 0.0000
Fe 2.7096 0.0000 0.0000
Fe 2.7096 2.7096 2.7096
Se 1.3548 1.3548 1.3548
Se 1.3548 4.0644 4.0644
Se 4.0644 1.3548 4.0644
Se 4.0644 4.0644 1.3548



6.
3
Lattice="4.5617 0.0000 0.0000 -2.2808 3.9505 0.0000 0.0000 0.0000 3.0169" Properties=species:S:1:pos:R:3 comment="PBEsol Zr2Ir, optimized geometry" dos_at_fermi_per_ev_fu=2.8 total_energy_ev_per_atom=-9.792 magmom_total_mub_per_atom=0.000 pbc="T T T"
Zr 0.0000 2.6337 0.5356
Zr 2.2808 1.3168 2.4813
Ir 0.0000 0.0000 1.5084



7.
5
Lattice="4.4843 0.0000 0.0000 0.0000 4.4843 0.0000 0.0000 0.0000 5.0713" Properties=species:S:1:pos:R:3 comment="PBEsol CaCoOs2Se, optimized geometry" dos_at_fermi_per_ev_fu=7.3 total_energy_ev_per_atom=-6.163 raw_formation_energy_kj_per_mol_atoms=141.6 magmom_total_mub_per_atom=0.458 pbc="T T T"
Ca 0.0000 0.0000 0.0000
Co 2.2421 2.2421 0.0000
Os 0.0000 2.2421 2.5357
Os 2.2421 0.0000 2.5357
Se 0.0000 0.0000 2.5357



8.
4
Lattice="2.7756 0.0000 0.0000 0.0000 3.9065 0.0000 0.0000 0.0000 5.6011" Properties=species:S:1:pos:R:3 comment="PBEsol LiHgIr2, optimized geometry" dos_at_fermi_per_ev_fu=3.6 total_energy_ev_per_atom=-5.472 magmom_total_mub_per_atom=0.000 pbc="T T T"
Li 0.0000 0.0000 0.0000
Hg 1.3878 1.9533 1.2705
Ir 0.0000 0.0000 3.0653
Ir 1.3878 1.9533 4.0948



9.
10
Lattice="4.1035 0.0000 0.0000 0.0000 4.1035 0.0000 0.0000 0.0000 12.2208" Properties=species:S:1:pos:R:3 comment="PBEsol KPd2Au2, optimized geometry" dos_at_fermi_per_ev_fu=3.7 total_energy_ev_per_atom=-4.076 magmom_total_mub_per_atom=0.000 e_above_lowest_polymorph_mev_per_atom=193 pbc="T T T"
K 0.0000 0.0000 0.0000
K 2.0517 2.0517 6.1104
Pd 0.0000 2.0517 3.0552
Pd 0.0000 2.0517 9.1656
Pd 2.0517 0.0000 3.0552
Pd 2.0517 0.0000 9.1656
Au 0.0000 0.0000 4.7904
Au 0.0000 0.0000 7.4304
Au 2.0517 2.0517 1.3200
Au 2.0517 2.0517 10.9007



10.
16
Lattice="6.3439 0.0000 0.0000 0.0000 6.3439 0.0000 0.0000 0.0000 6.3439" Properties=species:S:1:pos:R:3 comment="PBEsol YNi2Ag, optimized geometry" dos_at_fermi_per_ev_fu=2.7 total_energy_ev_per_atom=-5.616 magmom_total_mub_per_atom=0.000 pbc="T T T"
Y 0.0000 0.0000 0.0000
Y 0.0000 3.1719 3.1719
Y 3.1719 0.0000 3.1719
Y 3.1719 3.1719 0.0000
Ni 0.0000 0.0000 3.1719
Ni 0.0000 3.1719 0.0000
Ni 1.5860 1.5860 1.5860
Ni 1.5860 4.7579 4.7579
Ni 3.1719 0.0000 0.0000
Ni 3.1719 3.1719 3.1719
Ni 4.7579 1.5860 4.7579
Ni 4.7579 4.7579 1.5860
Ag 1.5860 1.5860 4.7579
Ag 1.5860 4.7579 1.5860
Ag 4.7579 1.5860 1.5860
Ag 4.7579 4.7579 4.7579



11.
12
Lattice="2.9589 0.0000 0.0000 -1.4794 2.5625 0.0000 0.0000 0.0000 30.1502" Properties=species:S:1:pos:R:3 comment="PBEsol LaWAu2, optimized geometry" dos_at_fermi_per_ev_fu=3.3 total_energy_ev_per_atom=-6.432 magmom_total_mub_per_atom=0.000 e_above_lowest_polymorph_mev_per_atom=118 pbc="T T T"
La 0.0000 0.0000 0.0000
La 0.0000 1.7083 20.1001
La 1.4794 0.8542 10.0501
W 0.0000 0.0000 15.0751
W 0.0000 1.7083 5.0250
W 1.4794 0.8542 25.1251
Au 0.0000 0.0000 7.2561
Au 0.0000 0.0000 22.8941
Au 0.0000 1.7083 12.8441
Au 0.0000 1.7083 27.3562
Au 1.4794 0.8542 2.7940
Au 1.4794 0.8542 17.3061



12.
16
Lattice="6.4282 0.0000 0.0000 0.0000 6.4282 0.0000 0.0000 0.0000 6.4282" Properties=species:S:1:pos:R:3 comment="PBEsol Sn2HPd, optimized geometry" dos_at_fermi_per_ev_fu=2.1 total_energy_ev_per_atom=-4.409 magmom_total_mub_per_atom=0.000 pbc="T T T"
Sn 1.6070 1.6070 1.6070
Sn 1.6070 1.6070 4.8211
Sn 1.6070 4.8211 1.6070
Sn 1.6070 4.8211 4.8211
Sn 4.8211 1.6070 1.6070
Sn 4.8211 1.6070 4.8211
Sn 4.8211 4.8211 1.6070
Sn 4.8211 4.8211 4.8211
H 0.0000 0.0000 0.0000
H 0.0000 3.2141 3.2141
H 3.2141 0.0000 3.2141
H 3.2141 3.2141 0.0000
Pd 0.0000 0.0000 3.2141
Pd 0.0000 3.2141 0.0000
Pd 3.2141 0.0000 0.0000
Pd 3.2141 3.2141 3.2141